## w
A relaxed DyTh2 crystal, computed with PBE.

Output
As for the density of states at the Fermi level: 42.0 states/eV/cell.

Cell: 9.3560 9.3560 9.3560 Å, 90.00 90.00 90.00°
With the nearest neighbours (Å) after each atom.
Space group Fd-3m (No. 227, origin choice 2)
Symmetry-distinct sites (fractional):
1 Dy 0.1250 0.1250 0.1250  12 Th 3.88, 4 Dy 4.05
2 Th 0.0000 0.0000 0.5000  6 Th 3.31

---

## x
A relaxed DyTh2 crystal, computed with PBE.

Output
As for the density of states at the Fermi level: 18.9 states/eV/cell.

Cell: 3.4330 3.4330 33.2927 Å, 90.00 90.00 90.00°
With the nearest neighbours (Å) after each atom.
Space group I4_1/amd (No. 141, origin choice 2)
Symmetry-distinct sites (fractional):
1 Dy 0.0000 0.2500 0.3750  4 Dy 3.43, 8 Th 3.64
2 Th 0.0000 0.2500 0.7935  6 Th 3.37-3.43, 4 Dy 3.64

---

## y
A relaxed DyTh2 crystal, computed with PBE.

Output
As for the density of states at the Fermi level: 7.6 states/eV/cell.

Cell: 3.5722 3.5722 15.0918 Å, 90.00 90.00 90.00°
With the nearest neighbours (Å) after each atom.
Space group I4/mmm (No. 139)
Symmetry-distinct sites (fractional):
1 Dy 0.0000 0.0000 0.0000  4 Dy 3.57, 8 Th 3.58
2 Th 0.0000 0.0000 0.3315  8 Th 3.53-3.57, 4 Dy 3.58

---

## z
A relaxed DyTh2 crystal, computed with PBE.

Output
As for the density of states at the Fermi level: 3.9 states/eV/cell.

Cell: 3.5729 3.5729 8.7158 Å, 90.00 90.00 120.00°
With the nearest neighbours (Å) after each atom.
Space group P-3m1 (No. 164)
Symmetry-distinct sites (fractional):
1 Dy 0.0000 0.0000 0.0000  6 Dy 3.57, 6 Th 3.59
2 Th 0.3333 0.6667 0.6626  9 Th 3.51-3.57, 3 Dy 3.59

---

So which one is most stable? That would be z, about 0.015 eV/atom below the next structure.

---

## w
A relaxed Dy5Th4 crystal, computed with PBE.

Output
As for the density of states at the Fermi level: 28.5 states/eV/cell.

Cell: 10.6628 10.6628 5.0497 Å, 90.00 90.00 90.00°
With the nearest neighbours (Å) after each atom.
Space group I4/mmm (No. 139)
Symmetry-distinct sites (fractional):
1 Dy 0.0000 0.0000 0.0000  4 Dy 3.51, 8 Th 3.56
2 Dy 0.0000 0.3288 0.0000  6 Dy 3.51-3.65, 6 Th 3.54-3.56
3 Th 0.1662 0.1662 0.5000  8 Dy 3.54-3.56, 4 Th 3.54-3.57

---

## x
A relaxed Dy5Th4 crystal, computed with PBE.

Output
As for the density of states at the Fermi level: 31.2 states/eV/cell.

Cell: 12.6174 12.6174 3.6208 Å, 90.00 90.00 90.00°
With the nearest neighbours (Å) after each atom.
Space group I4/mmm (No. 139)
Symmetry-distinct sites (fractional):
1 Dy 0.0000 0.0000 0.0000  10 Dy 3.48-3.62
2 Dy 0.1666 0.1666 0.5000  6 Dy 3.48-3.62, 4 Th 3.51
3 Th 0.0000 0.3364 0.0000  6 Th 3.43-3.62, 4 Dy 3.51

---

So which one is most stable? That would be w, about 0.084 eV/atom below the next structure.

---

## w
A relaxed Dy2ThTl crystal, computed with PBE.

Output
As for the density of states at the Fermi level: 34.0 states/eV/cell.

Cell: 7.7384 7.7384 7.7384 Å, 90.00 90.00 90.00°
With the nearest neighbours (Å) after each atom.
Space group Fm-3m (No. 225)
Symmetry-distinct sites (fractional):
1 Dy 0.2500 0.2500 0.2500  4 Tl 3.35, 4 Th 3.35
2 Th 0.0000 0.0000 0.0000  8 Dy 3.35
3 Tl 0.0000 0.0000 0.5000  8 Dy 3.35

---

## x
A relaxed Dy2ThTl crystal, computed with PBE.

Output
As for the density of states at the Fermi level: 5.9 states/eV/cell.

Cell: 4.9380 4.9380 4.7800 Å, 90.00 90.00 90.00°
With the nearest neighbours (Å) after each atom.
Space group P4/mmm (No. 123)
Symmetry-distinct sites (fractional):
1 Dy 0.0000 0.5000 0.0000  4 Tl 3.44, 4 Th 3.44, 4 Dy 3.49
2 Th 0.0000 0.0000 0.5000  8 Dy 3.44, 4 Tl 3.49
3 Tl 0.5000 0.5000 0.5000  8 Dy 3.44, 4 Th 3.49

---

So which one is most stable? That would be x, about 0.187 eV/atom below the next structure.

---

## w
A relaxed Dy2ThTl crystal, computed with PBE.

Output
As for the density of states at the Fermi level: 4.1 states/eV/cell.

Cell: 3.6066 3.6066 9.0259 Å, 90.00 90.00 90.00°
With the nearest neighbours (Å) after each atom.
Space group P4/mmm (No. 123)
Symmetry-distinct sites (fractional):
1 Dy 0.0000 0.0000 0.2347  4 Tl 3.32, 4 Th 3.50, 4 Dy 3.61
2 Th 0.5000 0.5000 0.5000  8 Dy 3.50, 4 Th 3.61
3 Tl 0.5000 0.5000 0.0000  8 Dy 3.32, 4 Tl 3.61

---

## x
A relaxed Dy2ThTl crystal, computed with PBE.

Output
As for the density of states at the Fermi level: 19.2 states/eV/cell.

Cell: 3.5832 3.5832 32.8541 Å, 90.00 90.00 120.00°
With the nearest neighbours (Å) after each atom.
Space group R3m (No. 160, hexagonal axes)
Symmetry-distinct sites (fractional):
1 Dy 0.0000 0.0000 0.0000  3 Tl 3.31, 3 Th 3.56, 6 Dy 3.58
2 Dy 0.0000 0.0000 0.1763  3 Tl 3.30, 3 Th 3.56, 6 Dy 3.58
3 Th 0.0000 0.0000 0.4214  6 Dy 3.56, 6 Th 3.58
4 Tl 0.0000 0.0000 0.5879  6 Dy 3.30-3.31, 6 Tl 3.58

---

So which one is most stable? That would be w, about 0.103 eV/atom below the next structure.

---

## w
A relaxed DyThTl crystal, computed with PBE.

Output
As for the density of states at the Fermi level: 4.6 states/eV/cell.

Cell: 5.4041 5.4041 3.6100 Å, 90.00 90.00 120.00°
With the nearest neighbours (Å) after each atom.
Space group P3m1 (No. 156)
Symmetry-distinct sites (fractional):
1 Dy 0.0000 0.0000 0.0000  3 Tl 3.17
2 Th 0.3333 0.6667 0.5296  3 Tl 3.41, 6 Dy 3.55-3.66, 2 Th 3.61
3 Tl 0.6667 0.3333 0.1504  3 Dy 3.17, 3 Th 3.41

---

## x
A relaxed DyThTl crystal, computed with PBE.

Output
As for the density of states at the Fermi level: 11.7 states/eV/cell.

Cell: 4.6233 4.6233 17.2831 Å, 90.00 90.00 90.00°
With the nearest neighbours (Å) after each atom.
Space group I4/mmm (No. 139)
Symmetry-distinct sites (fractional):
1 Dy 0.0000 0.0000 0.1779  5 Tl 3.10-3.32
2 Th 0.0000 0.5000 0.0000  4 Th 3.27, 4 Tl 3.38
3 Tl 0.0000 0.0000 0.3571  5 Dy 3.10-3.32, 4 Th 3.38

---

So which one is most stable? That would be x, about 0.168 eV/atom below the next structure.

---

## w
A relaxed DyThTl crystal, computed with PBE.

Output
As for the density of states at the Fermi level: 6.5 states/eV/cell.

Cell: 3.6424 3.6424 13.7625 Å, 90.00 90.00 90.00°
With the nearest neighbours (Å) after each atom.
Space group I4mm (No. 107)
Symmetry-distinct sites (fractional):
1 Dy 0.0000 0.0000 0.0000  4 Tl 3.30, 4 Th 3.61, 4 Dy 3.64
2 Th 0.0000 0.0000 0.3166  4 Tl 3.45, 4 Dy 3.61, 4 Th 3.64
3 Tl 0.0000 0.0000 0.6503  4 Dy 3.30, 4 Th 3.45, 4 Tl 3.64

---

## x
A relaxed DyThTl crystal, computed with PBE.

Output
As for the density of states at the Fermi level: 8.8 states/eV/cell.

Cell: 5.5192 5.5192 6.6234 Å, 90.00 90.00 120.00°
With the nearest neighbours (Å) after each atom.
Space group P6_3/mmc (No. 194)
Symmetry-distinct sites (fractional):
1 Dy 0.3333 0.6667 0.2500  5 Tl 3.19-3.31
2 Th 0.0000 0.0000 0.0000  2 Th 3.31, 6 Tl 3.59, 6 Dy 3.59
3 Tl 0.3333 0.6667 0.7500  5 Dy 3.19-3.31

---

So which one is most stable? That would be x, about 0.059 eV/atom below the next structure.